Entry 1:
A relaxed TmMg2Ga2Cu crystal. Source: Alexandria via LeMat-Bulk, functional GGA-PBE.

Cell: 5.2172 5.2172 10.4315 Å, 90.00 90.00 90.00°
With the nearest neighbours (Å) after each atom.
Space group I4/mmm (No. 139)
Unique sites:
Tm (0.0000, 0.0000, 0.0000) x2  2 Ga 2.92
Mg (0.0000, 0.5000, 0.2500) x4  4 Ga 2.63
Ga (0.0000, 0.0000, 0.2795) x4  1 Cu 2.30
Cu (0.0000, 0.0000, 0.5000) x2  2 Ga 2.30

Computed properties:
- ΔE_f (eV per atom) = 0.193

---

Entry 2:
A relaxed In8BiTe4 crystal. Source: Alexandria via LeMat-Bulk, functional GGA-PBE.

Cell: 7.2165 8.4449 8.7256 Å, 100.38 107.74 107.25°
With the nearest neighbours (Å) after each atom.
Space group P-1 (No. 2)
Unique sites:
In (0.1948, 0.3518, 0.2848) x2  3 Te 3.12-3.17, 1 In 3.14
In (0.2412, 0.3642, 0.7697) x2  3 Te 3.02-3.03, 1 Bi 3.12
In (0.2630, 0.9296, 0.8584) x2  2 In 3.14-3.26, 1 Te 3.19, 1 Bi 3.38
In (0.2938, 0.8737, 0.3679) x2  2 Te 2.97-3.11, 1 In 3.00, 1 Bi 3.06
Bi (0.0000, 0.0000, 0.5000) x1  6 In 3.06-3.38
Te (0.3163, 0.6255, 0.0924) x2  4 In 2.97-3.17
Te (0.3563, 0.6571, 0.6188) x2  5 In 3.03-3.19

Computed properties:
- raw formation energy (meV/atom) = -98.8

---

Entry 3:
A relaxed KVTeN2 crystal. Source: Alexandria via LeMat-Bulk, functional GGA-PBE.

Cell: 4.1268 4.1268 5.3754 Å, 90.00 90.00 90.00°
With the nearest neighbours (Å) after each atom.
Space group P4/mmm (No. 123)
Unique sites:
K (0.0000, 0.0000, 0.0000) x1  4 Te 2.92
V (0.5000, 0.5000, 0.5000) x1  4 N 2.06
Te (0.5000, 0.5000, 0.0000) x1  2 V 2.69, 4 K 2.92
N (0.0000, 0.5000, 0.5000) x2  2 V 2.06

Computed properties:
- raw formation energy (meV/atom) = 459.5
- relative energy among the computed polymorphs (meV per atom) = 0

---

Number 1: magnetization 0.00 μB per cell. Number 2: magnetization 0.00 μB per cell. Number 3: magnetization 1.74 μB per cell.